1.
Below is crystalline SrCa2As at its relaxed geometry, with properties calculated at the GGA-PBE level.

The structure belongs to space group R-3m (No. 166, hexagonal axes); the cell edges are 4.3214, 4.3214 and 31.0136 Å and the angles 90.00°, 90.00° and 120.00°. Symmetry generates all atoms from Sr at (0.0000, 0.0000, 0.0000), Ca at (0.0000, 0.0000, 0.2148) and As at (0.0000, 0.0000, 0.5000).

The calculation puts the total moment at 0.012 Bohr magnetons per cell. The value obtained for the formation energy is -0.6234 eV per atom. The density of states at the Fermi level comes out at 9.212 states/eV per cell.

***

2.
Below is crystalline Sr3CaAs3 at its relaxed geometry, with properties calculated at the GGA-PBE level.

The structure belongs to space group P2_13 (No. 198); the cell edges are 9.3908, 9.3908 and 9.3908 Å and the angles 90.00°, 90.00° and 90.00°. Symmetry generates all atoms from Sr at (0.0690, 0.4310, 0.5690), Sr at (0.1803, 0.8197, 0.3197), Sr at (0.1812, 0.1812, 0.1812), Ca at (0.0666, 0.5666, 0.9334) and As at (0.0007, 0.2557, 0.8732).

The calculation puts the total moment at 0.000 Bohr magnetons per cell. The value obtained for the formation energy is -1.0920 eV per atom. The density of states at the Fermi level comes out at 27.010 states/eV per cell.

***

3.
Below is crystalline Sr5CaAs4 at its relaxed geometry, with properties calculated at the GGA-PBE level.

The structure belongs to space group Immm (No. 71); the cell edges are 4.5670, 8.5114 and 18.4252 Å and the angles 90.00°, 90.00° and 90.00°. Symmetry generates all atoms from Sr at (0.0000, 0.0000, 0.0000), Sr at (0.0000, 0.2260, 0.3353), Ca at (0.0000, 0.5000, 0.0000), As at (0.0000, 0.2449, 0.5000) and As at (0.0000, 0.5000, 0.2150).

The calculation puts the total moment at 0.000 Bohr magnetons per cell. The value obtained for the formation energy is -1.0596 eV per atom. The density of states at the Fermi level comes out at 0.880 states/eV per cell.

***

4.
Below is crystalline SrCaAs at its relaxed geometry, with properties calculated at the GGA-PBE level.

The structure belongs to space group F-43m (No. 216); the cell edges are 7.4438, 7.4438 and 7.4438 Å and the angles 90.00°, 90.00° and 90.00°. Symmetry generates all atoms from Sr at (0.0000, 0.0000, 0.0000), Ca at (0.2500, 0.2500, 0.7500) and As at (0.2500, 0.2500, 0.2500).

The calculation puts the total moment at 0.000 Bohr magnetons per cell. The value obtained for the formation energy is -0.1287 eV per atom. The density of states at the Fermi level comes out at 8.893 states/eV per cell.